No. 1
Below is Sc3UH after structural relaxation, with properties calculated at the PBE-GGA level.

Summary:
Magnetization (μB per cell): 2.791

Cell lengths 4.576, 4.576, 4.576 Å; angles 90.00, 90.00, 90.00 degrees
Space group Pm-3m (No. 221)
Symmetry-distinct sites (fractional):
Sc (0.000, 0.000, 0.500) x3
U (0.500, 0.500, 0.500) x1
H (0.000, 0.000, 0.000) x1


No. 2
Below is SrY2P after structural relaxation, with properties calculated at the PBE-GGA level.

Summary:
Formation energy (eV/atom): -0.532
Magnetization (μB per cell): 1.053

Cell lengths 3.786, 3.786, 8.563 Å; angles 90.00, 90.00, 90.00 degrees
Space group P4mm (No. 99)
Symmetry-distinct sites (fractional):
Sr (0.000, 0.000, 0.000) x1
Y (0.000, 0.000, 0.620) x1
Y (0.500, 0.500, 0.356) x1
P (0.500, 0.500, 0.731) x1


No. 3
Below is Tb2TcF after structural relaxation, with properties calculated at the PBE-GGA level.

Summary:
Magnetization (μB per cell): 0.000
Energy relative to the elements, uncorrected (meV per atom): -1052

Cell lengths 3.317, 3.317, 7.303 Å; angles 90.00, 90.00, 90.00 degrees
Space group P4/mmm (No. 123)
Symmetry-distinct sites (fractional):
Tb (0.000, 0.000, 0.233) x2
Tc (0.500, 0.500, 0.000) x1
F (0.500, 0.500, 0.500) x1


Number 1: E -6.58 eV per atom. Number 2: E -5.54 eV per atom. Number 3: E -6.43 eV per atom.